Record 1
Compound: Dy12Ho3Tl
Source: Alexandria via LeMat-Bulk
Functional: PBE
Structure: optimized geometry

Values from the calculation:
Crystal system: tetragonal
Energy relative to the elements in eV per atom: -0.03

Unit cell a=4.9451 b=4.9451 c=20.0962 alpha=90.00 beta=90.00 gamma=90.00
Fractional coordinates of all 16 atoms:
Dy 0.5000 0.5000 0.0000
Dy 0.5000 0.5000 0.2453
Dy 0.5000 0.5000 0.5000
Dy 0.5000 0.5000 0.7547
Dy 0.5000 0.0000 0.1221
Dy 0.5000 0.0000 0.3737
Dy 0.5000 0.0000 0.6263
Dy 0.5000 0.0000 0.8779
Dy 0.0000 0.5000 0.1221
Dy 0.0000 0.5000 0.3737
Dy 0.0000 0.5000 0.6263
Dy 0.0000 0.5000 0.8779
Ho 0.0000 0.0000 0.2488
Ho 0.0000 0.0000 0.5000
Ho 0.0000 0.0000 0.7512
Tl 0.0000 0.0000 0.0000

Record 2
Compound: Nd2CdGa3Rh4
Source: Alexandria via LeMat-Bulk
Functional: PBE
Structure: optimized geometry

Values from the calculation:
Crystal system: tetragonal
Energy relative to the elements in eV per atom: -0.69

Unit cell a=4.2715 b=4.2715 c=10.6212 alpha=90.00 beta=90.00 gamma=90.00
Fractional coordinates of all 10 atoms:
Nd 0.5000 0.0000 0.2367
Nd 0.0000 0.5000 0.7633
Cd 0.5000 0.5000 0.5000
Ga 0.0000 0.0000 0.5000
Ga 0.5000 0.0000 0.8807
Ga 0.0000 0.5000 0.1193
Rh 0.5000 0.5000 0.0000
Rh 0.0000 0.0000 0.0000
Rh 0.5000 0.0000 0.6492
Rh 0.0000 0.5000 0.3508

Record 3
Compound: HfTi3Bi
Source: Alexandria via LeMat-Bulk
Functional: PBE
Structure: optimized geometry

Values from the calculation:
Crystal system: cubic
Energy relative to the elements in eV per atom: 0.99

Unit cell a=4.9120 b=4.9120 c=4.9120 alpha=90.00 beta=90.00 gamma=90.00
Each line ends with the local moment (μB).
Fractional coordinates of all 5 atoms:
Hf 0.0000 0.0000 0.0000  0.02
Bi 0.5000 0.5000 0.5000  -0.04
Ti 0.0000 0.5000 0.0000  0.44
Ti 0.0000 0.0000 0.5000  0.31
Ti 0.5000 0.0000 0.0000  0.64

Record 4
Compound: KPuAuS3
Source: Alexandria via LeMat-Bulk
Functional: PBE
Structure: optimized geometry

Values from the calculation:
Crystal system: orthorhombic

Unit cell a=4.1017 b=7.4948 c=10.3177 alpha=90.00 beta=90.00 gamma=105.88
Each line ends with the local moment (μB).
Fractional coordinates of all 12 atoms:
K 0.7327 0.4653 0.7500  0.00
K 0.2673 0.5347 0.2500  0.00
Pu 0.0000 0.0000 0.5000  4.61
Pu 0.0000 0.0000 0.0000  4.61
Au 0.4318 0.8635 0.7500  -0.10
Au 0.5682 0.1365 0.2500  -0.10
S 0.6230 0.2461 0.4680  -0.14
S 0.3770 0.7539 0.5320  -0.14
S 0.3770 0.7539 0.9680  -0.14
S 0.6230 0.2461 0.0320  -0.14
S 0.0552 0.1103 0.7500  -0.16
S 0.9448 0.8897 0.2500  -0.16

Record 5
Compound: BeGaMoCl2
Source: Alexandria via LeMat-Bulk
Functional: PBE
Structure: optimized geometry

Values from the calculation:
Crystal system: tetragonal

Unit cell a=4.6560 b=5.3975 c=4.6560 alpha=90.00 beta=90.00 gamma=90.00
Fractional coordinates of all 5 atoms:
Be 0.5000 0.5000 0.5000
Mo 0.0000 0.0000 0.0000
Ga 0.0000 0.5000 0.0000
Cl 0.0000 0.0000 0.5000
Cl 0.5000 0.0000 0.0000

Record 6
Compound: SrNiAs3
Source: Alexandria via LeMat-Bulk
Functional: PBE
Structure: optimized geometry

Values from the calculation:
Crystal system: cubic
Energy relative to the elements in eV per atom: 1.54

Unit cell a=5.5462 b=5.5462 c=5.5462 alpha=90.00 beta=90.00 gamma=90.00
Fractional coordinates of all 5 atoms:
Sr 0.0000 0.0000 0.0000
As 0.0000 0.5000 0.0000
As 0.0000 0.0000 0.5000
As 0.5000 0.0000 0.0000
Ni 0.5000 0.5000 0.5000

Record 7
Compound: ErNpSc
Source: Alexandria via LeMat-Bulk
Functional: PBE
Structure: optimized geometry

Values from the calculation:
Crystal system: trigonal
Energy relative to the elements in eV per atom: 0.32

Unit cell a=3.2638 b=3.2638 c=8.3145 alpha=90.00 beta=90.00 gamma=120.00
Each line ends with the local moment (μB).
Fractional coordinates of all 3 atoms:
Np 0.3333 0.6667 0.6744  3.68
Sc 0.0000 0.0000 0.9911  -0.08
Er 0.6667 0.3333 0.3345  -0.09

Record 8
Compound: LiNd2GaSe5
Source: Alexandria via LeMat-Bulk
Functional: PBE
Structure: optimized geometry

Values from the calculation:
Crystal system: orthorhombic

Unit cell a=4.0283 b=9.2131 c=11.9320 alpha=90.00 beta=90.00 gamma=102.63
Fractional coordinates of all 18 atoms:
Li 0.7863 0.5726 0.5200
Li 0.2137 0.4274 0.0200
Nd 0.8674 0.7347 0.8048
Nd 0.1207 0.2415 0.6820
Nd 0.1326 0.2653 0.3048
Nd 0.8793 0.7585 0.1820
Ga 0.5690 0.1381 0.9543
Ga 0.4310 0.8619 0.4543
Se 0.3568 0.7137 0.9985
Se 0.6854 0.3709 0.8507
Se 0.4996 0.9992 0.7788
Se 0.2910 0.5820 0.6678
Se 0.9565 0.9130 0.5671
Se 0.6432 0.2863 0.4985
Se 0.3146 0.6291 0.3507
Se 0.5004 0.0008 0.2788
Se 0.7090 0.4180 0.1678
Se 0.0435 0.0870 0.0671

| no. | total DFT energy (no corrections) (eV per atom) | calculated volume (Å³/cell) | spin magnetization (μB per cell) |
| --- | --- | --- | --- |
| 1 | -4.484 | 491.4 | 0.000 |
| 2 | -5.579 | 193.8 | 0.000 |
| 3 | -6.512 | 118.5 | 1.884 |
| 4 | -6.296 | 305.1 | 8.000 |
| 5 | -3.696 | 117.0 | 0.002 |
| 6 | -2.746 | 170.6 | 0.000 |
| 7 | -7.621 | 76.7 | 3.700 |
| 8 | -4.972 | 432.1 | 0.000 |